Entry from Alexandria: a relaxed Tl2CdHgPd crystal (PBE).

Results
The total moment is 0.0 Bohr magnetons per cell. For the raw total energy, the calculation gives -2.20 eV/atom. The value obtained for the energy above the lowest structure with this stoichiometry is 0.37 eV per formula unit. The space-group type is P4/mmm, No. 123. The crystal system is tetragonal. Its formation energy is 0.0323 eV/atom.

Unit cell a=5.355 b=5.355 c=5.374 alpha=90.00 beta=90.00 gamma=90.00
Atoms (fractional coordinates):
1 Tl 0.000 0.500 0.000
2 Tl 0.500 0.000 0.000
3 Hg 0.000 0.000 0.500
4 Pd 0.000 0.000 0.000
5 Cd 0.500 0.500 0.500